Here is a relaxed structure of YNiAs2 from the Alexandria database. Energies are from PBE.

Calculated values
For the formation energy, the calculation gives -0.46 eV per atom. The volume is 19.64 Å³ per atom. The value obtained for the electronic total energy is -5.842 eV per atom.

Cell: 3.693 3.693 5.761 Å, 90.00 90.00 90.00°
Space group P4mm (No. 99)
One atom of each set of equivalent atoms:
Y  0.000  0.000  0.000
Ni  0.500  0.500  0.602
As  0.000  0.000  0.510
As  0.500  0.500  0.182



Here is a relaxed structure of YNi2As from the Alexandria database. Energies are from PBE.

Calculated values
For the formation energy, the calculation gives -0.38 eV per atom. The volume is 16.94 Å³ per atom. The value obtained for the electronic total energy is -6.049 eV per atom.

Cell: 3.745 4.261 8.492 Å, 90.00 90.00 90.00°
Space group Imm2 (No. 44)
One atom of each set of equivalent atoms:
Y  0.000  0.000  0.000
Ni  0.000  0.000  0.583
Ni  0.000  0.500  0.761
As  0.000  0.500  0.245



Here is a relaxed structure of YNi2As from the Alexandria database. Energies are from PBE.

Calculated values
For the formation energy, the calculation gives -0.18 eV per atom. The volume is 17.36 Å³ per atom. The value obtained for the electronic total energy is -5.851 eV per atom.

Cell: 5.581 5.788 8.600 Å, 90.00 90.00 90.00°
Space group Fmmm (No. 69)
One atom of each set of equivalent atoms:
Y  0.000  0.000  0.000
Ni  0.000  0.250  0.250
As  0.000  0.000  0.500



Here is a relaxed structure of YNi2As from the Alexandria database. Energies are from PBE.

Calculated values
For the formation energy, the calculation gives -0.26 eV per atom. The volume is 16.31 Å³ per atom. The value obtained for the electronic total energy is -5.926 eV per atom.

Cell: 6.390 6.390 6.390 Å, 90.00 90.00 90.00°
Space group F-43m (No. 216)
One atom of each set of equivalent atoms:
Y  0.000  0.000  0.000
Ni  0.000  0.000  0.500
Ni  0.250  0.250  0.250
As  0.250  0.250  0.750



Here is a relaxed structure of YNiAs2 from the Alexandria database. Energies are from PBE.

Calculated values
For the formation energy, the calculation gives -0.70 eV per atom. The volume is 20.12 Å³ per atom. The value obtained for the electronic total energy is -6.089 eV per atom.

Cell: 3.846 3.857 5.426 Å, 90.00 90.00 90.00°
Space group Pmmm (No. 47)
One atom of each set of equivalent atoms:
Y  0.000  0.000  0.000
Ni  0.000  0.500  0.500
As  0.500  0.500  0.252



Here is a relaxed structure of YNi5As2 from the Alexandria database. Energies are from PBE.

Calculated values
For the formation energy, the calculation gives -0.50 eV per atom. The volume is 14.22 Å³ per atom. The value obtained for the electronic total energy is -6.082 eV per atom.

Cell: 3.766 6.641 9.099 Å, 90.00 90.00 90.00°
Space group Immm (No. 71)
One atom of each set of equivalent atoms:
Y  0.000  0.000  0.000
Ni  0.000  0.187  0.358
Ni  0.000  0.500  0.000
As  0.000  0.500  0.250



Here is a relaxed structure of YNi2As from the Alexandria database. Energies are from PBE.

Calculated values
For the formation energy, the calculation gives -0.52 eV per atom. The volume is 18.18 Å³ per atom. The value obtained for the electronic total energy is -6.190 eV per atom.

Cell: 3.794 3.918 4.893 Å, 90.00 90.00 90.00°
Space group Pmmm (No. 47)
One atom of each set of equivalent atoms:
Y  0.000  0.000  0.000
Ni  0.500  0.500  0.244
As  0.500  0.000  0.500



Here is a relaxed structure of YNi2As from the Alexandria database. Energies are from PBE.

Calculated values
For the formation energy, the calculation gives -0.37 eV per atom. The volume is 16.12 Å³ per atom. The value obtained for the electronic total energy is -6.037 eV per atom.

Cell: 4.085 4.085 3.864 Å, 90.00 90.00 90.00°
Space group P4/mmm (No. 123)
One atom of each set of equivalent atoms:
Y  0.000  0.000  0.000
Ni  0.000  0.500  0.500
As  0.500  0.500  0.000



The lowest electronic total energy belongs to which entry? number 7



Number 6 is which compound? YNi5As2



Among the records above, which one has the lowest electronic total energy? number 7



The lowest electronic total energy belongs to which entry? number 7